Entry 1:
# La3B2PdPt9 | Alexandria | PBE | optimized geometry
# Magnetic moment ... 0.00 μB per cell
# Calculated formation energy ... -786 meV/atom
data_La3B2PdPt9
_cell_length_a 5.8003
_cell_length_b 5.8003
_cell_length_c 9.6404
_cell_angle_alpha 90.00
_cell_angle_beta 90.00
_cell_angle_gamma 120.00
_space_group_name_H-M_alt 'P -3 m 1'
_space_group_IT_number 164
_space_group_name_Hall '-P 3 2"'
loop_
_atom_site_label
_atom_site_type_symbol
_atom_site_fract_x
_atom_site_fract_y
_atom_site_fract_z
La1 La 0.0000 0.0000 0.0000
La2 La 0.3333 0.6667 0.6063
B1 B 0.3333 0.6667 0.1471
Pd1 Pd 0.0000 0.0000 0.5000
Pt1 Pt 0.0000 0.5000 0.0000
Pt2 Pt 0.1644 0.3287 0.2783

Entry 2:
# LaBPd2Rh | Alexandria | PBE | optimized geometry
# Magnetic moment ... 0.00 μB per cell
# Calculated formation energy ... -625 meV/atom
data_LaBPd2Rh
_cell_length_a 4.416
_cell_length_b 4.416
_cell_length_c 4.263
_cell_angle_alpha 90.00
_cell_angle_beta 90.00
_cell_angle_gamma 90.00
_space_group_name_H-M_alt 'P 4/m m m'
_space_group_IT_number 123
_space_group_name_Hall '-P 4 2'
loop_
_atom_site_label
_atom_site_type_symbol
_atom_site_fract_x
_atom_site_fract_y
_atom_site_fract_z
La1 La 0.000 0.000 0.000
B1 B 0.500 0.500 0.500
Pd1 Pd 0.000 0.500 0.500
Rh1 Rh 0.500 0.500 0.000

Entry 3:
# LaBPd2Ru | Alexandria | PBE | optimized geometry
# Magnetic moment ... 0.00 μB per cell
# Calculated formation energy ... -540 meV/atom
data_LaBPd2Ru
_cell_length_a 4.373
_cell_length_b 4.373
_cell_length_c 4.275
_cell_angle_alpha 90.00
_cell_angle_beta 90.00
_cell_angle_gamma 90.00
_space_group_name_H-M_alt 'P 4/m m m'
_space_group_IT_number 123
_space_group_name_Hall '-P 4 2'
loop_
_atom_site_label
_atom_site_type_symbol
_atom_site_fract_x
_atom_site_fract_y
_atom_site_fract_z
La1 La 0.000 0.000 0.000
B1 B 0.500 0.500 0.500
Pd1 Pd 0.000 0.500 0.500
Ru1 Ru 0.500 0.500 0.000

Entry 4:
# LaBPdRu2 | Alexandria | PBE | optimized geometry
# Magnetic moment ... 0.48 μB per cell
# Calculated formation energy ... -321 meV/atom
data_LaBPdRu2
_cell_length_a 4.311
_cell_length_b 4.311
_cell_length_c 4.302
_cell_angle_alpha 90.00
_cell_angle_beta 90.00
_cell_angle_gamma 90.00
_space_group_name_H-M_alt 'P 4/m m m'
_space_group_IT_number 123
_space_group_name_Hall '-P 4 2'
loop_
_atom_site_label
_atom_site_type_symbol
_atom_site_fract_x
_atom_site_fract_y
_atom_site_fract_z
La1 La 0.000 0.000 0.000
B1 B 0.500 0.500 0.500
Pd1 Pd 0.500 0.500 0.000
Ru1 Ru 0.000 0.500 0.500

Entry 5:
# La2BSbPd6 | Alexandria | PBE | optimized geometry
# ΔE_f (raw) ... -0.750 eV per atom
# Magnetic moment ... 0.00 μB per cell
data_La2BSbPd6
_cell_length_a 5.8557
_cell_length_b 5.8557
_cell_length_c 20.0317
_cell_angle_alpha 90.00
_cell_angle_beta 90.00
_cell_angle_gamma 120.00
_space_group_name_H-M_alt 'R -3 m'
_space_group_IT_number 166
_space_group_name_Hall '-R 3 2"'
loop_
_atom_site_label
_atom_site_type_symbol
_atom_site_fract_x
_atom_site_fract_y
_atom_site_fract_z
La1 La 0.0000 0.0000 0.2302
B1 B 0.0000 0.0000 0.0000
Sb1 Sb 0.0000 0.0000 0.5000
Pd1 Pd 0.0048 0.5024 0.2736

Entry 6:
# La2SnBPd6 | Alexandria | PBE | optimized geometry
# Magnetic moment ... 0.00 μB per cell
# Calculated formation energy ... -713 meV/atom
data_La2SnBPd6
_cell_length_a 10.145
_cell_length_b 5.855
_cell_length_c 7.497
_cell_angle_alpha 90.00
_cell_angle_beta 116.89
_cell_angle_gamma 90.00
_space_group_name_H-M_alt 'C 1 2/m 1'
_space_group_IT_number 12
loop_
_space_group_symop_operation_xyz
'x,y,z'
'-x,-y,-z'
'-x,y,-z'
'x,-y,z'
'x+1/2,y+1/2,z'
'-x+1/2,-y+1/2,-z'
'-x+1/2,y+1/2,-z'
'x+1/2,-y+1/2,z'
loop_
_atom_site_label
_atom_site_type_symbol
_atom_site_fract_x
_atom_site_fract_y
_atom_site_fract_z
La1 La 0.231 0.000 0.194
Sn1 Sn 0.000 0.500 0.000
B1 B 0.000 0.000 0.500
Pd1 Pd 0.024 0.255 0.321
Pd2 Pd 0.230 0.000 0.677

| no. | ρ (g cm⁻³) |
| --- | --- |
| 1 | 13.60 |
| 2 | 9.30 |
| 3 | 9.42 |
| 4 | 9.52 |
| 5 | 8.78 |
| 6 | 8.75 |